(1)
## Li2TbY (PBE)

Data for a relaxed Li2TbY crystal.

Calculated formation energy = 145 meV per atom
ΔE to the lowest computed polymorph = 0.003 eV per atom

Cell: 5.2665 5.2665 5.2665 Å, 60.00 60.00 60.00°
Sites, in units of the cell vectors:
Li 0.7500 0.7500 0.7500
Li 0.2500 0.2500 0.2500
Y 0.5000 0.5000 0.5000
Tb 0.0000 0.0000 0.0000

=====

(2)
## LiTbY (PBE)

Data for a relaxed LiTbY crystal.

Calculated formation energy = 113 meV per atom
ΔE to the lowest computed polymorph = 0.066 eV per atom

Cell: 3.4898 3.4898 8.3395 Å, 90.00 90.00 120.00°
Sites, in units of the cell vectors:
Li 0.0000 0.0000 0.9997
Y 0.3333 0.6667 0.6704
Tb 0.6667 0.3333 0.3299

=====

(3)
## LiTbY2 (PBE)

Data for a relaxed LiTbY2 crystal.

Calculated formation energy = 100 meV per atom
ΔE to the lowest computed polymorph = 0.040 eV per atom

Cell: 3.5356 3.5356 11.3487 Å, 81.08 81.08 60.06°
Sites, in units of the cell vectors:
Y 0.0811 0.0811 0.7565
Y 0.2521 0.2521 0.2434
Li 0.6667 0.6667 0.0003
Tb 0.5001 0.5001 0.4998

=====

(4)
## LiTb2Y (PBE)

Data for a relaxed LiTb2Y crystal.

Calculated formation energy = 152 meV per atom
ΔE to the lowest computed polymorph = 0.082 eV per atom

Cell: 3.7690 5.6062 5.6062 Å, 90.00 90.00 90.00°
Sites, in units of the cell vectors:
Li 0.5000 0.5000 0.5000
Y 0.5000 0.0000 0.0000
Tb 0.0000 0.0000 0.5000
Tb 0.0000 0.5000 0.0000

=====

(5)
## LiTb2Y (PBE)

Data for a relaxed LiTb2Y crystal.

Calculated formation energy = 89 meV per atom
ΔE to the lowest computed polymorph = 0.019 eV per atom

Cell: 3.5146 3.5146 11.4238 Å, 81.16 81.16 59.99°
Sites, in units of the cell vectors:
Li 0.5001 0.5001 0.4997
Tb 0.2481 0.2481 0.2557
Tb 0.0852 0.0852 0.7445
Y 0.6666 0.6666 0.0001

=====

(6)
## Li2TbY (PBE)

Data for a relaxed Li2TbY crystal.

Calculated formation energy = 292 meV per atom
ΔE to the lowest computed polymorph = 0.150 eV per atom

Cell: 3.3298 3.3298 11.9623 Å, 82.00 82.00 60.00°
Sites, in units of the cell vectors:
Y 0.0000 0.0000 0.0000
Li 0.0885 0.0885 0.7344
Li 0.9115 0.9115 0.2656
Tb 0.5000 0.5000 0.5000

=====

(7)
## LiTbY (PBE)

Data for a relaxed LiTbY crystal.

Calculated formation energy = 53 meV per atom
ΔE to the lowest computed polymorph = 0.006 eV per atom

Cell: 3.6145 3.6145 12.8692 Å, 90.01 90.01 90.00°
Sites, in units of the cell vectors:
Li 0.7497 0.7497 0.5509
Li 0.2503 0.2503 0.4491
Y 0.2502 0.2502 0.0990
Y 0.7498 0.7498 0.9010
Tb 0.7505 0.7505 0.2849
Tb 0.2495 0.2495 0.7151

=====

(8)
## LiTb2Y (PBE)

Data for a relaxed LiTb2Y crystal.

Calculated formation energy = 70 meV per atom
ΔE to the lowest computed polymorph = 0.000 eV per atom

Cell: 3.6179 3.6179 8.8778 Å, 90.00 90.00 90.00°
Sites, in units of the cell vectors:
Tb 0.0000 0.0000 0.2218
Tb 0.0000 0.0000 0.7782
Li 0.5000 0.5000 0.0000
Y 0.5000 0.5000 0.5000

=====

Please write out number 7 again, unchanged.
## LiTbY (PBE)

Data for a relaxed LiTbY crystal.

Calculated formation energy = 53 meV per atom
ΔE to the lowest computed polymorph = 0.006 eV per atom

Cell: 3.6145 3.6145 12.8692 Å, 90.01 90.01 90.00°
Sites, in units of the cell vectors:
Li 0.7497 0.7497 0.5509
Li 0.2503 0.2503 0.4491
Y 0.2502 0.2502 0.0990
Y 0.7498 0.7498 0.9010
Tb 0.7505 0.7505 0.2849
Tb 0.2495 0.2495 0.7151